First-principles (PBE) data for a relaxed structure of Ca2OsBr, as listed in Alexandria.

## Properties
The density of states at the Fermi level comes out at 0.71 states/eV/atom. For the offset from the most stable computed form, the calculation gives 0.4165 eV per atom. For the energy, the calculation gives -4.1618 eV/atom. For the total magnetic moment, the calculation gives 1.00 μB/f.u.

```
Ca2OsBr
1.0
0.000 3.612 3.612
3.612 0.000 3.612
3.612 3.612 0.000
Ca Os Br
2 1 1
Direct
0.250 0.250 0.250
0.750 0.750 0.750
0.000 0.000 0.000
0.500 0.500 0.500
```